DFT (PBE+U) results for crystalline CdCoAsO at its relaxed geometry.

```
8
Lattice="3.905 0.000 0.000 0.000 3.905 0.000 0.000 0.000 7.823" Properties=species:S:1:pos:R:3 pbc="T T T"
Cd 0.976 0.976 1.024
Cd 2.929 2.929 6.798
Co 0.976 2.929 3.911
Co 2.929 0.976 3.911
As 0.976 0.976 5.153
As 2.929 2.929 2.669
O 0.976 2.929 0.000
O 2.929 0.976 0.000
```

Its space-group type is P4/nmm. The final energy comes out at -3.9511 eV per atom.